Entry 1:
Density functional theory data (PBE) for Tb12Pr5Th3 after structural relaxation.

Computed properties:
Space-group type ... No. 230
Energy of formation from the pure elements ... 1.0419 eV per atom
Total magnetic moment ... 0.01 μB/cell
Electronic total energy ... -323.53 eV for the cell shown

a = 16.291 Å, b = 16.291 Å, c = 16.291 Å
α = 109.47°, β = 109.47°, γ = 109.47°
Sites, in units of the cell vectors:
Tb (0.069, 0.644, 0.415)
Tb (0.069, 0.925, 0.654)
Tb (0.075, 0.229, 0.144)
Tb (0.075, 0.346, 0.931)
Tb (0.085, 0.729, 0.654)
Tb (0.085, 0.856, 0.431)
Tb (0.144, 0.075, 0.229)
Tb (0.144, 0.569, 0.915)
Tb (0.154, 0.229, 0.585)
Tb (0.154, 0.425, 0.569)
Tb (0.229, 0.144, 0.075)
Tb (0.229, 0.585, 0.154)
Tb (0.271, 0.346, 0.915)
Tb (0.271, 0.425, 0.356)
Tb (0.346, 0.915, 0.271)
Tb (0.346, 0.931, 0.075)
Tb (0.356, 0.271, 0.425)
Tb (0.356, 0.585, 0.931)
Tb (0.415, 0.069, 0.644)
Tb (0.415, 0.846, 0.771)
Tb (0.425, 0.356, 0.271)
Tb (0.425, 0.569, 0.154)
Tb (0.431, 0.085, 0.856)
Tb (0.431, 0.846, 0.575)
Tb (0.569, 0.154, 0.425)
Tb (0.569, 0.915, 0.144)
Tb (0.575, 0.431, 0.846)
Tb (0.575, 0.644, 0.729)
Tb (0.585, 0.154, 0.229)
Tb (0.585, 0.931, 0.356)
Tb (0.644, 0.415, 0.069)
Tb (0.644, 0.729, 0.575)
Tb (0.654, 0.069, 0.925)
Tb (0.654, 0.085, 0.729)
Tb (0.729, 0.575, 0.644)
Tb (0.729, 0.654, 0.085)
Tb (0.771, 0.415, 0.846)
Tb (0.771, 0.856, 0.925)
Tb (0.846, 0.575, 0.431)
Tb (0.846, 0.771, 0.415)
Tb (0.856, 0.431, 0.085)
Tb (0.856, 0.925, 0.771)
Tb (0.915, 0.144, 0.569)
Tb (0.915, 0.271, 0.346)
Tb (0.925, 0.654, 0.069)
Tb (0.925, 0.771, 0.856)
Tb (0.931, 0.075, 0.346)
Tb (0.931, 0.356, 0.585)
Pr (0.000, 0.000, 0.000)
Pr (0.000, 0.000, 0.500)
Pr (0.000, 0.500, 0.000)
Pr (0.000, 0.500, 0.500)
Pr (0.125, 0.750, 0.875)
Pr (0.125, 0.875, 0.250)
Pr (0.250, 0.125, 0.875)
Pr (0.250, 0.625, 0.375)
Pr (0.375, 0.250, 0.625)
Pr (0.375, 0.625, 0.750)
Pr (0.500, 0.000, 0.000)
Pr (0.500, 0.000, 0.500)
Pr (0.500, 0.500, 0.000)
Pr (0.500, 0.500, 0.500)
Pr (0.625, 0.375, 0.250)
Pr (0.625, 0.750, 0.375)
Pr (0.750, 0.375, 0.625)
Pr (0.750, 0.875, 0.125)
Pr (0.875, 0.125, 0.750)
Pr (0.875, 0.250, 0.125)
Th (0.125, 0.250, 0.375)
Th (0.125, 0.375, 0.750)
Th (0.250, 0.375, 0.125)
Th (0.250, 0.875, 0.625)
Th (0.375, 0.125, 0.250)
Th (0.375, 0.750, 0.125)
Th (0.625, 0.250, 0.875)
Th (0.625, 0.875, 0.750)
Th (0.750, 0.125, 0.375)
Th (0.750, 0.625, 0.875)
Th (0.875, 0.625, 0.250)
Th (0.875, 0.750, 0.625)

***

Entry 2:
Density functional theory data (PBE) for In2Co after structural relaxation.

Computed properties:
Space-group type ... No. 63
Energy of formation from the pure elements ... 0.1051 eV per atom
Total magnetic moment ... 0.00 μB/cell
Electronic total energy ... -49.07 eV for the cell shown

a = 2.970 Å, b = 17.724 Å, c = 4.411 Å
α = 90.00°, β = 90.00°, γ = 90.00°
Sites, in units of the cell vectors:
In (0.000, 0.065, 0.250)
In (0.000, 0.195, 0.750)
In (0.000, 0.805, 0.250)
In (0.000, 0.935, 0.750)
In (0.500, 0.305, 0.250)
In (0.500, 0.435, 0.750)
In (0.500, 0.565, 0.250)
In (0.500, 0.695, 0.750)
Co (0.000, 0.433, 0.250)
Co (0.000, 0.567, 0.750)
Co (0.500, 0.067, 0.750)
Co (0.500, 0.933, 0.250)

***

Entry 3:
Density functional theory data (PBE) for Hf2Co2Cu after structural relaxation.

Computed properties:
Space-group type ... No. 127
Energy of formation from the pure elements ... -0.2735 eV per atom
Total magnetic moment ... 0.00 μB/cell
Distance to the lowest polymorph of the same formula ... 53.7 meV/atom
Electronic total energy ... -79.16 eV for the cell shown

a = 6.816 Å, b = 6.816 Å, c = 3.299 Å
α = 90.00°, β = 90.00°, γ = 90.00°
Sites, in units of the cell vectors:
Hf (0.170, 0.330, 0.000)
Hf (0.330, 0.830, 0.000)
Hf (0.670, 0.170, 0.000)
Hf (0.830, 0.670, 0.000)
Co (0.132, 0.632, 0.500)
Co (0.368, 0.132, 0.500)
Co (0.632, 0.868, 0.500)
Co (0.868, 0.368, 0.500)
Cu (0.000, 0.000, 0.500)
Cu (0.500, 0.500, 0.500)

***

Entry 4:
Density functional theory data (PBE) for HoRhSe after structural relaxation.

Computed properties:
Space-group type ... No. 156
Formation energy without anion corrections ... -1.146 eV per atom
Total magnetic moment ... 0.00 μB/cell
Electronic total energy ... -18.85 eV for the cell shown

a = 4.298 Å, b = 4.298 Å, c = 3.641 Å
α = 90.00°, β = 90.00°, γ = 120.00°
Sites, in units of the cell vectors:
Ho (0.000, 0.000, 0.000)
Rh (0.333, 0.667, 0.479)
Se (0.667, 0.333, 0.515)

***

Entry 5:
Density functional theory data (PBE) for Rb2CoHCl6 after structural relaxation.

Computed properties:
Space-group type ... No. 139
Total magnetic moment ... 2.00 μB/cell
Electronic total energy ... -34.10 eV for the cell shown

a = 7.066 Å, b = 7.066 Å, c = 7.066 Å
α = 114.46°, β = 114.46°, γ = 99.89°
Sites, in units of the cell vectors:
Rb (0.250, 0.750, 0.500)
Rb (0.750, 0.250, 0.500)
Co (0.000, 0.000, 0.000)
H (0.500, 0.500, 0.000)
Cl (0.204, 0.204, 0.407)
Cl (0.204, 0.796, 0.000)
Cl (0.328, 0.328, 0.000)
Cl (0.672, 0.672, 0.000)
Cl (0.796, 0.204, 0.000)
Cl (0.796, 0.796, 0.593)